The following is a DFT calculation (meta-GGA SCAN) of a PBEsol-optimized structure of K2LiAlF6.

```
data_K2LiAlF6
_chemical_formula_sum 'K8 Li4 Al4 F24'
_cell_length_a 7.820
_cell_length_b 7.820
_cell_length_c 7.820
_cell_angle_alpha 90.00
_cell_angle_beta 90.00
_cell_angle_gamma 90.00
_symmetry_space_group_name_H-M 'F m -3 m'
_symmetry_Int_Tables_number 225
_symmetry_space_group_name_Hall '-F 4 2 3'
loop_
_atom_site_label
_atom_site_type_symbol
_atom_site_fract_x
_atom_site_fract_y
_atom_site_fract_z
K1 K 0.250 0.250 0.250
Li1 Li 0.000 0.000 0.000
Al1 Al 0.000 0.000 0.500
F1 F 0.000 0.000 0.266
```

Results
ΔE_f (raw)	-3.470	eV per atom
M_tot	0.0	μB/f.u.



The following is a DFT calculation (meta-GGA SCAN) of a PBEsol-optimized structure of K2LiAlF6.

```
data_K2LiAlF6
_chemical_formula_sum 'K2 Li1 Al1 F6'
_cell_length_a 5.6317
_cell_length_b 5.6317
_cell_length_c 4.8827
_cell_angle_alpha 90.00
_cell_angle_beta 90.00
_cell_angle_gamma 120.00
_symmetry_space_group_name_H-M 'P -3 m 1'
_symmetry_Int_Tables_number 164
_symmetry_space_group_name_Hall '-P 3 2"'
loop_
_atom_site_label
_atom_site_type_symbol
_atom_site_fract_x
_atom_site_fract_y
_atom_site_fract_z
K1 K 0.3333 0.6667 0.2466
Li1 Li 0.0000 0.0000 0.0000
Al1 Al 0.0000 0.0000 0.5000
F1 F 0.1484 0.2969 0.7244
```

Results
ΔE_f (raw)	-3.409	eV per atom
M_tot	0.0	μB/f.u.



The following is a DFT calculation (meta-GGA SCAN) of a PBEsol-optimized structure of K2LiAlF6.

```
data_K2LiAlF6
_chemical_formula_sum 'K12 Li6 Al6 F36'
_cell_length_a 5.5907
_cell_length_b 5.5907
_cell_length_c 27.4810
_cell_angle_alpha 90.00
_cell_angle_beta 90.00
_cell_angle_gamma 120.00
_symmetry_space_group_name_H-M 'R -3 m'
_symmetry_Int_Tables_number 166
_symmetry_space_group_name_Hall '-R 3 2"'
loop_
_atom_site_label
_atom_site_type_symbol
_atom_site_fract_x
_atom_site_fract_y
_atom_site_fract_z
K1 K 0.0000 0.0000 0.1274
K2 K 0.0000 0.0000 0.2815
Li1 Li 0.0000 0.0000 0.4029
Al1 Al 0.0000 0.0000 0.0000
Al2 Al 0.0000 0.0000 0.5000
F1 F 0.0242 0.5121 0.7047
F2 F 0.0334 0.5167 0.1272
```

Results
ΔE_f (raw)	-3.462	eV per atom
M_tot	0.0	μB/f.u.



The following is a DFT calculation (meta-GGA SCAN) of a PBEsol-optimized structure of KAlNF2.

```
data_KAlNF2
_chemical_formula_sum 'K1 Al1 N1 F2'
_cell_length_a 4.775
_cell_length_b 4.775
_cell_length_c 4.867
_cell_angle_alpha 90.00
_cell_angle_beta 90.00
_cell_angle_gamma 90.00
_symmetry_space_group_name_H-M 'P 4/m m m'
_symmetry_Int_Tables_number 123
_symmetry_space_group_name_Hall '-P 4 2'
loop_
_atom_site_label
_atom_site_type_symbol
_atom_site_fract_x
_atom_site_fract_y
_atom_site_fract_z
K1 K 0.000 0.000 0.000
Al1 Al 0.500 0.500 0.500
N1 N 0.000 0.000 0.500
F1 F 0.000 0.500 0.000
```

Results
ΔE_f (raw)	-0.140	eV per atom
M_tot	3.1	μB/f.u.



The following is a DFT calculation (meta-GGA SCAN) of a PBEsol-optimized structure of K4Nb11Al2O20F.

```
data_K4Nb11Al2O20F
_chemical_formula_sum 'K8 Nb22 Al4 O40 F2'
_cell_length_a 8.819
_cell_length_b 8.819
_cell_length_c 12.685
_cell_angle_alpha 90.00
_cell_angle_beta 90.00
_cell_angle_gamma 90.00
_symmetry_space_group_name_H-M 'I 4/m m m'
_symmetry_Int_Tables_number 139
_symmetry_space_group_name_Hall '-I 4 2'
loop_
_atom_site_label
_atom_site_type_symbol
_atom_site_fract_x
_atom_site_fract_y
_atom_site_fract_z
K1 K 0.000 0.307 0.000
Nb1 Nb 0.000 0.000 0.184
Nb2 Nb 0.000 0.000 0.500
Nb3 Nb 0.162 0.162 0.337
Al1 Al 0.000 0.500 0.250
O1 O 0.000 0.339 0.334
O2 O 0.166 0.166 0.174
O3 O 0.170 0.170 0.500
F1 F 0.000 0.000 0.000
```

Results
ΔE_f (raw)	-2.612	eV per atom
M_tot	0.0	μB/f.u.



The following is a DFT calculation (meta-GGA SCAN) of a PBEsol-optimized structure of KAlNiF6.

```
data_KAlNiF6
_chemical_formula_sum 'K4 Al4 Ni4 F24'
_cell_length_a 6.940
_cell_length_b 7.016
_cell_length_c 9.886
_cell_angle_alpha 90.00
_cell_angle_beta 90.00
_cell_angle_gamma 90.00
_symmetry_space_group_name_H-M 'I m m a'
_symmetry_Int_Tables_number 74
_symmetry_space_group_name_Hall '-I 2b 2'
loop_
_atom_site_label
_atom_site_type_symbol
_atom_site_fract_x
_atom_site_fract_y
_atom_site_fract_z
K1 K 0.000 0.250 0.116
Al1 Al 0.000 0.000 0.500
Ni1 Ni 0.250 0.250 0.750
F1 F 0.000 0.250 0.455
F2 F 0.000 0.250 0.842
F3 F 0.186 0.035 0.625
```

Results
ΔE_f (raw)	-3.177	eV per atom
M_tot	2.0	μB/f.u.



The following is a DFT calculation (meta-GGA SCAN) of a PBEsol-optimized structure of K2Al2O3F2.

```
data_K2Al2O3F2
_chemical_formula_sum 'K8 Al8 O12 F8'
_cell_length_a 11.278
_cell_length_b 8.159
_cell_length_c 6.088
_cell_angle_alpha 90.00
_cell_angle_beta 91.77
_cell_angle_gamma 90.00
_symmetry_space_group_name_H-M 'C 1 2/m 1'
_symmetry_Int_Tables_number 12
_symmetry_space_group_name_Hall '-C 2y'
loop_
_atom_site_label
_atom_site_type_symbol
_atom_site_fract_x
_atom_site_fract_y
_atom_site_fract_z
K1 K 0.101 0.000 0.244
K2 K 0.163 0.500 0.168
Al1 Al 0.126 0.298 0.647
O1 O 0.000 0.234 0.500
O2 O 0.123 0.500 0.737
O3 O 0.250 0.250 0.500
F1 F 0.132 0.183 0.890
```

Results
ΔE_f (raw)	-3.138	eV per atom
M_tot	0.0	μB/f.u.



The following is a DFT calculation (meta-GGA SCAN) of a PBEsol-optimized structure of K2RbAlF6.

```
data_K2RbAlF6
_chemical_formula_sum 'K8 Rb4 Al4 F24'
_cell_length_a 8.772
_cell_length_b 8.772
_cell_length_c 8.772
_cell_angle_alpha 90.00
_cell_angle_beta 90.00
_cell_angle_gamma 90.00
_symmetry_space_group_name_H-M 'F m -3 m'
_symmetry_Int_Tables_number 225
_symmetry_space_group_name_Hall '-F 4 2 3'
loop_
_atom_site_label
_atom_site_type_symbol
_atom_site_fract_x
_atom_site_fract_y
_atom_site_fract_z
K1 K 0.250 0.250 0.250
Rb1 Rb 0.000 0.000 0.000
Al1 Al 0.000 0.000 0.500
F1 F 0.000 0.000 0.293
```

Results
ΔE_f (raw)	-3.340	eV per atom
M_tot	0.0	μB/f.u.



The following is a DFT calculation (meta-GGA SCAN) of a PBEsol-optimized structure of La2AlF2.

```
data_La2AlF2
_chemical_formula_sum 'La4 Al2 F4'
_cell_length_a 3.816
_cell_length_b 3.816
_cell_length_c 14.254
_cell_angle_alpha 90.00
_cell_angle_beta 90.00
_cell_angle_gamma 90.00
_symmetry_space_group_name_H-M 'I 4/m m m'
_symmetry_Int_Tables_number 139
_symmetry_space_group_name_Hall '-I 4 2'
loop_
_atom_site_label
_atom_site_type_symbol
_atom_site_fract_x
_atom_site_fract_y
_atom_site_fract_z
La1 La 0.000 0.000 0.135
Al1 Al 0.000 0.000 0.500
F1 F 0.000 0.500 0.250
```

Results
ΔE_f (raw)	-2.512	eV per atom
M_tot	0.0	μB/f.u.



The following is a DFT calculation (meta-GGA SCAN) of a PBEsol-optimized structure of Li3AlF.

```
data_Li3AlF
_chemical_formula_sum 'Li3 Al1 F1'
_cell_length_a 4.070
_cell_length_b 4.070
_cell_length_c 4.070
_cell_angle_alpha 90.00
_cell_angle_beta 90.00
_cell_angle_gamma 90.00
_symmetry_space_group_name_H-M 'P m -3 m'
_symmetry_Int_Tables_number 221
_symmetry_space_group_name_Hall '-P 4 2 3'
loop_
_atom_site_label
_atom_site_type_symbol
_atom_site_fract_x
_atom_site_fract_y
_atom_site_fract_z
Li1 Li 0.000 0.000 0.500
Al1 Al 0.500 0.500 0.500
F1 F 0.000 0.000 0.000
```

Results
ΔE_f (raw)	-1.094	eV per atom
M_tot	0.0	μB/f.u.



The following is a DFT calculation (meta-GGA SCAN) of a PBEsol-optimized structure of LiAl3F.

```
data_LiAl3F
_chemical_formula_sum 'Li1 Al3 F1'
_cell_length_a 4.481
_cell_length_b 4.481
_cell_length_c 4.481
_cell_angle_alpha 90.00
_cell_angle_beta 90.00
_cell_angle_gamma 90.00
_symmetry_space_group_name_H-M 'P m -3 m'
_symmetry_Int_Tables_number 221
_symmetry_space_group_name_Hall '-P 4 2 3'
loop_
_atom_site_label
_atom_site_type_symbol
_atom_site_fract_x
_atom_site_fract_y
_atom_site_fract_z
Li1 Li 0.000 0.000 0.000
Al1 Al 0.000 0.500 0.500
F1 F 0.500 0.500 0.500
```

Results
ΔE_f (raw)	-0.157	eV per atom
M_tot	0.0	μB/f.u.



The following is a DFT calculation (meta-GGA SCAN) of a PBEsol-optimized structure of Na3Li3Al2F12.

```
data_Na3Li3Al2F12
_chemical_formula_sum 'Na24 Li24 Al16 F96'
_cell_length_a 12.098
_cell_length_b 12.098
_cell_length_c 12.098
_cell_angle_alpha 90.00
_cell_angle_beta 90.00
_cell_angle_gamma 90.00
_symmetry_space_group_name_H-M 'I a -3 d'
_symmetry_Int_Tables_number 230
_symmetry_space_group_name_Hall '-I 4bd 2c 3'
loop_
_atom_site_label
_atom_site_type_symbol
_atom_site_fract_x
_atom_site_fract_y
_atom_site_fract_z
Na1 Na 0.000 0.250 0.125
Li1 Li 0.000 0.250 0.375
Al1 Al 0.000 0.000 0.000
F1 F 0.030 0.045 0.640
```

Results
ΔE_f (raw)	-3.426	eV per atom
M_tot	0.0	μB/f.u.



The following is a DFT calculation (meta-GGA SCAN) of a PBEsol-optimized structure of LiScAl2F.

```
data_LiScAl2F
_chemical_formula_sum 'Li1 Sc1 Al2 F1'
_cell_length_a 4.430
_cell_length_b 4.430
_cell_length_c 4.397
_cell_angle_alpha 90.00
_cell_angle_beta 90.00
_cell_angle_gamma 90.00
_symmetry_space_group_name_H-M 'P 4/m m m'
_symmetry_Int_Tables_number 123
_symmetry_space_group_name_Hall '-P 4 2'
loop_
_atom_site_label
_atom_site_type_symbol
_atom_site_fract_x
_atom_site_fract_y
_atom_site_fract_z
Li1 Li 0.000 0.000 0.000
Sc1 Sc 0.500 0.500 0.000
Al1 Al 0.000 0.500 0.500
F1 F 0.500 0.500 0.500
```

Results
ΔE_f (raw)	-0.591	eV per atom
M_tot	0.0	μB/f.u.



The following is a DFT calculation (meta-GGA SCAN) of a PBEsol-optimized structure of LiAlTeF2.

```
data_LiAlTeF2
_chemical_formula_sum 'Li1 Al1 Te1 F2'
_cell_length_a 4.429
_cell_length_b 4.429
_cell_length_c 5.636
_cell_angle_alpha 90.00
_cell_angle_beta 90.00
_cell_angle_gamma 90.00
_symmetry_space_group_name_H-M 'P 4/m m m'
_symmetry_Int_Tables_number 123
_symmetry_space_group_name_Hall '-P 4 2'
loop_
_atom_site_label
_atom_site_type_symbol
_atom_site_fract_x
_atom_site_fract_y
_atom_site_fract_z
Li1 Li 0.000 0.000 0.000
Al1 Al 0.500 0.500 0.000
Te1 Te 0.500 0.500 0.500
F1 F 0.000 0.500 0.500
```

Results
ΔE_f (raw)	-0.663	eV per atom
M_tot	0.0	μB/f.u.



The following is a DFT calculation (meta-GGA SCAN) of a PBEsol-optimized structure of MgAl3F.

```
data_MgAl3F
_chemical_formula_sum 'Mg1 Al3 F1'
_cell_length_a 4.482
_cell_length_b 4.482
_cell_length_c 4.482
_cell_angle_alpha 90.00
_cell_angle_beta 90.00
_cell_angle_gamma 90.00
_symmetry_space_group_name_H-M 'P m -3 m'
_symmetry_Int_Tables_number 221
_symmetry_space_group_name_Hall '-P 4 2 3'
loop_
_atom_site_label
_atom_site_type_symbol
_atom_site_fract_x
_atom_site_fract_y
_atom_site_fract_z
Mg1 Mg 0.000 0.000 0.000
Al1 Al 0.000 0.500 0.500
F1 F 0.500 0.500 0.500
```

Results
ΔE_f (raw)	-0.210	eV per atom
M_tot	0.0	μB/f.u.



The following is a DFT calculation (meta-GGA SCAN) of a PBEsol-optimized structure of MgAlF3.

```
data_MgAlF3
_chemical_formula_sum 'Mg1 Al1 F3'
_cell_length_a 3.999
_cell_length_b 3.999
_cell_length_c 3.999
_cell_angle_alpha 90.00
_cell_angle_beta 90.00
_cell_angle_gamma 90.00
_symmetry_space_group_name_H-M 'P m -3 m'
_symmetry_Int_Tables_number 221
_symmetry_space_group_name_Hall '-P 4 2 3'
loop_
_atom_site_label
_atom_site_type_symbol
_atom_site_fract_x
_atom_site_fract_y
_atom_site_fract_z
Mg1 Mg 0.000 0.000 0.000
Al1 Al 0.500 0.500 0.500
F1 F 0.000 0.000 0.500
```

Results
ΔE_f (raw)	-2.658	eV per atom
M_tot	0.0	μB/f.u.



The following is a DFT calculation (meta-GGA SCAN) of a PBEsol-optimized structure of MgAlMoF2.

```
data_MgAlMoF2
_chemical_formula_sum 'Mg1 Al1 Mo1 F2'
_cell_length_a 3.685
_cell_length_b 3.685
_cell_length_c 6.228
_cell_angle_alpha 90.00
_cell_angle_beta 90.00
_cell_angle_gamma 90.00
_symmetry_space_group_name_H-M 'P 4/m m m'
_symmetry_Int_Tables_number 123
_symmetry_space_group_name_Hall '-P 4 2'
loop_
_atom_site_label
_atom_site_type_symbol
_atom_site_fract_x
_atom_site_fract_y
_atom_site_fract_z
Mg1 Mg 0.000 0.000 0.000
Al1 Al 0.000 0.000 0.500
Mo1 Mo 0.500 0.500 0.000
F1 F 0.000 0.500 0.500
```

Results
ΔE_f (raw)	-0.798	eV per atom
M_tot	3.2	μB/f.u.



The following is a DFT calculation (meta-GGA SCAN) of a PBEsol-optimized structure of MgAlN2F.

```
data_MgAlN2F
_chemical_formula_sum 'Mg1 Al1 N2 F1'
_cell_length_a 3.948
_cell_length_b 3.948
_cell_length_c 3.610
_cell_angle_alpha 90.00
_cell_angle_beta 90.00
_cell_angle_gamma 90.00
_symmetry_space_group_name_H-M 'P 4/m m m'
_symmetry_Int_Tables_number 123
_symmetry_space_group_name_Hall '-P 4 2'
loop_
_atom_site_label
_atom_site_type_symbol
_atom_site_fract_x
_atom_site_fract_y
_atom_site_fract_z
Mg1 Mg 0.000 0.000 0.000
Al1 Al 0.500 0.500 0.500
N1 N 0.000 0.500 0.000
F1 F 0.000 0.000 0.500
```

Results
ΔE_f (raw)	0.098	eV per atom
M_tot	2.0	μB/f.u.



no.,calculated total energy (eV per atom)
1,-8.274
2,-8.213
3,-8.266
4,-6.631
5,-16.860
6,-9.121
7,-9.576
8,-9.979
9,-22.720
10,-4.786
11,-5.994
12,-7.316
13,-7.725
14,-11.557
15,-6.564
16,-7.327
17,-11.736
18,-6.871